{
  "formula": "NaAg4Sn12",
  "functional": "PBE-GGA",
  "state": "optimized geometry",
  "magnetic_moment_mub_per_fu": 0.00,
  "formation_energy_ev_per_atom": 0.07,
  "volume_a3_per_cell": 467.9,
  "space_group": "No. 204",
  "final_energy_ev_per_cell": -59.52,
  "cell": [[-4.891, 4.891, 4.891], [4.891, -4.891, 4.891], [4.891, 4.891, -4.891]],
  "species": ["Na", "Ag", "Ag", "Ag", "Ag", "Sn", "Sn", "Sn", "Sn", "Sn", "Sn", "Sn", "Sn", "Sn", "Sn", "Sn", "Sn"],
  "frac_coords": [[0.000, 0.000, 0.000], [0.000, 0.000, 0.500], [0.000, 0.500, 0.000], [0.500, 0.000, 0.000], [0.500, 0.500, 0.500], [0.155, 0.504, 0.350], [0.155, 0.805, 0.650], [0.195, 0.350, 0.845], [0.350, 0.155, 0.504], [0.350, 0.845, 0.195], [0.496, 0.650, 0.845], [0.504, 0.350, 0.155], [0.650, 0.155, 0.805], [0.650, 0.845, 0.496], [0.805, 0.650, 0.155], [0.845, 0.195, 0.350], [0.845, 0.496, 0.650]]
}